[1]
An optimized crystal structure of La3Pm3Tl. Source: Alexandria via LeMat-Bulk, functional PBE-GGA.

```
data_La3Pm3Tl
_space_group_name_H-M_alt 'P 63/m'
_space_group_IT_number 176
_space_group_name_Hall '-P 6c'
_cell_length_a 9.6526
_cell_length_b 9.6526
_cell_length_c 5.7961
_cell_angle_alpha 90.00
_cell_angle_beta 90.00
_cell_angle_gamma 120.00
loop_
_atom_site_label
_atom_site_type_symbol
_atom_site_fract_x
_atom_site_fract_y
_atom_site_fract_z
La1 La 0.1108 0.6312 0.2500
Pm1 Pm 0.0625 0.8208 0.7500
Tl1 Tl 0.3333 0.6667 0.7500
```



[2]
An optimized crystal structure of LaPm2Tl4. Source: Alexandria via LeMat-Bulk, functional PBE-GGA.

```
data_LaPm2Tl4
_space_group_name_H-M_alt 'P 4/m m m'
_space_group_IT_number 123
_space_group_name_Hall '-P 4 2'
_cell_length_a 5.366
_cell_length_b 5.366
_cell_length_c 7.867
_cell_angle_alpha 90.00
_cell_angle_beta 90.00
_cell_angle_gamma 90.00
loop_
_atom_site_label
_atom_site_type_symbol
_atom_site_fract_x
_atom_site_fract_y
_atom_site_fract_z
La1 La 0.000 0.000 0.000
Pm1 Pm 0.000 0.000 0.500
Pm2 Pm 0.500 0.500 0.000
Tl1 Tl 0.000 0.500 0.272
```



no.,final energy (eV/atom),V (Å³ per cell)
1,-4.58,467.78
2,-3.65,226.54